Here is a geometry-optimized PuCoC2 structure from Alexandria. Energies are from GGA-PBEsol.

Energy relative to the elements (meV per atom): -62
Space-group type: No. 38
N(E_F) (states/eV/atom): 2.140
Calculated total energy (eV/atom): -10.607
M_tot (μB/f.u.): 4.71

Lattice parameters (Å, degrees): 3.5341 3.6912 3.6912 74.89 90.00 90.00
Element x y z (fractional)
Pu 0.0000 0.0000 0.0000
Co 0.5000 0.6095 0.6095
C 0.5000 0.1454 0.4593
C 0.5000 0.4593 0.1454

Here is a geometry-optimized Cu6OF11 structure from Alexandria. Energies are from GGA-PBEsol.

Formation energy (no corrections) (meV per atom): -1382
Space-group type: No. 1
N(E_F) (states/eV/atom): 0.492
Calculated total energy (eV/atom): -4.296
M_tot (μB/f.u.): 4.22

Lattice parameters (Å, degrees): 3.0599 6.6485 10.1949 71.02 89.41 88.37
Element x y z (fractional)
Cu 0.0000 0.0000 0.0000
Cu 0.0004 0.3236 0.3529
Cu 0.0032 0.6625 0.6752
Cu 0.5003 0.4932 0.0137
Cu 0.5002 0.8315 0.3370
Cu 0.5025 0.1510 0.6984
O 0.0020 0.0943 0.8124
F 0.9998 0.4267 0.1474
F 0.0010 0.5593 0.8810
F 0.0010 0.7660 0.4686
F 0.0025 0.2204 0.5588
F 0.4522 0.7887 0.0097
F 0.4995 0.8517 0.6763
F 0.5004 0.5222 0.3481
F 0.5007 0.1299 0.3477
F 0.5063 0.4724 0.6759
F 0.5480 0.2015 0.0102
F 0.9995 0.8990 0.2012

Here is a geometry-optimized CdCu2Re structure from Alexandria. Energies are from GGA-PBEsol.

Energy relative to the elements (meV per atom): 389
Space-group type: No. 47
N(E_F) (states/eV/atom): 0.679
Calculated total energy (eV/atom): -5.410
M_tot (μB/f.u.): 0.00

Lattice parameters (Å, degrees): 2.6585 3.7573 5.6690 90.00 90.00 90.00
Element x y z (fractional)
Cd 0.0000 0.0000 0.0000
Cu 0.5000 0.5000 0.2760
Cu 0.5000 0.5000 0.7240
Re 0.0000 0.0000 0.5000

Here is a geometry-optimized CaFe2As structure from Alexandria. Energies are from GGA-PBEsol.

Energy relative to the elements (meV per atom): -26
Space-group type: No. 6
N(E_F) (states/eV/atom): 0.853
Calculated total energy (eV/atom): -6.318
M_tot (μB/f.u.): 4.55

Lattice parameters (Å, degrees): 3.1208 3.7806 6.0086 90.00 104.41 90.00
Element x y z (fractional)
Ca 0.0000 0.0000 0.0000
Fe 0.2528 0.0000 0.4779
Fe 0.7145 0.5000 0.4050
As 0.3662 0.5000 0.7214

Here is a geometry-optimized Sr2ZrHg structure from Alexandria. Energies are from GGA-PBEsol.

Energy relative to the elements (meV per atom): 255
Space-group type: No. 123
N(E_F) (states/eV/atom): 1.271
Calculated total energy (eV/atom): -3.079
M_tot (μB/f.u.): 1.29

Lattice parameters (Å, degrees): 5.7895 5.7895 3.6154 90.00 90.00 90.00
Element x y z (fractional)
Sr 0.0000 0.5000 0.0000
Sr 0.5000 0.0000 0.0000
Zr 0.0000 0.0000 0.5000
Hg 0.5000 0.5000 0.5000

Here is a geometry-optimized MnTl3Ir structure from Alexandria. Energies are from GGA-PBEsol.

Energy relative to the elements (meV per atom): 1267
Space-group type: No. 221
N(E_F) (states/eV/atom): 0.854
Calculated total energy (eV/atom): -4.228
M_tot (μB/f.u.): 3.68

Lattice parameters (Å, degrees): 4.9648 4.9648 4.9648 90.00 90.00 90.00
Element x y z (fractional)
Mn 0.0000 0.0000 0.0000
Tl 0.0000 0.0000 0.5000
Tl 0.0000 0.5000 0.0000
Tl 0.5000 0.0000 0.0000
Ir 0.5000 0.5000 0.5000